[1]
Computed, not measured: a relaxed structure of CaLaAl at the GGA-PBE level of DFT.

a b c (Å): 6.1215 5.1321 6.9154
angles (deg): 90.01 111.01 65.20
Positions (direct):
Ca: 0.9977 0.3814 0.8174
Ca: 0.7145 0.0229 0.9948
La: 0.2285 0.2660 0.4321
La: 0.4848 0.6379 0.2833
Al: 0.8606 0.9499 0.4950
Al: 0.3676 0.6965 0.7559

Output
The distance to the lowest polymorph of the same formula is 0.095 eV/atom. Its density of states at the Fermi level is 0.0963 states/eV/atom. The formation energy is -185.1 meV/atom. The final energy is -3.742 eV per atom. For the total magnetization, the calculation gives 0.00 μB per atom.

***

[2]
Computed, not measured: a relaxed structure of Ag2BrClF at the GGA-PBE level of DFT.

a b c (Å): 3.8747 7.2594 9.2838
angles (deg): 107.48 90.00 105.48
Positions (direct):
Ag: 0.8443 0.6887 0.1355
Ag: 0.3458 0.6916 0.7112
Ag: 0.1557 0.3113 0.8645
Ag: 0.6542 0.3084 0.2888
Br: 0.7028 0.4057 0.6604
Br: 0.2972 0.5943 0.3396
Cl: 0.9710 0.9420 0.7463
Cl: 0.0290 0.0580 0.2537
F: 0.3266 0.6532 0.9786
F: 0.6734 0.3468 0.0214

Output
The value obtained for the uncorrected formation energy is -0.594 eV per atom. Its density of states at the Fermi level is 1.0195 states/eV/atom. The final energy is -2.812 eV per atom. For the total magnetization, the calculation gives 0.00 μB per atom.